This record from Alexandria describes an optimized crystal structure of SrPuMg2O6. The functional is PBE.

**Energy relative to the elements, uncorrected**: -2.65 eV/atom

Cell lengths 5.5574, 5.5574, 14.8856 Å; angles 90.00, 90.00, 120.00 degrees
Space group R3 (No. 146, hexagonal axes)
Unique sites:
Sr (0.0000, 0.0000, 0.0000) (multiplicity 3)
Pu (0.0000, 0.0000, 0.5252) (multiplicity 3)
Mg (0.0000, 0.0000, 0.2152) (multiplicity 3)
Mg (0.0000, 0.0000, 0.7324) (multiplicity 3)
O (0.0085, 0.3365, 0.7940) (multiplicity 9)
O (0.0915, 0.7323, 0.2829) (multiplicity 9)